# 1
A geometry-optimized PmRhCl6 structure, computed with GGA-PBE.

Raw formation energy (kJ per mole of atoms): -128.7
SG: R-3
Total magnetization (μB per formula unit): 0.0

Unit cell a=6.3703 b=6.3697 c=6.8903 alpha=62.46 beta=62.45 gamma=59.99
Closest atoms and distances in Å follow each position.
Atoms (fractional coordinates):
Pm1 0.5000 0.5000 0.5000  6 Cl 2.75
Rh1 0.0000 0.0000 0.0000  6 Cl 2.37
Cl1 0.0661 0.3884 0.7664  1 Rh 2.37
Cl2 0.7791 0.0662 0.7664  1 Rh 2.37
Cl3 0.6116 0.2209 0.2336  1 Rh 2.37
Cl4 0.2209 0.9338 0.2336  1 Rh 2.37
Cl5 0.9339 0.6116 0.2336  1 Rh 2.37
Cl6 0.3884 0.7791 0.7664  1 Rh 2.37

# 2
A geometry-optimized Pm4RhCl5 structure, computed with GGA-PBE.

Raw formation energy (kJ per mole of atoms): -162.4
SG: C2/m
Total magnetization (μB per formula unit): 0.0

Unit cell a=3.9739 b=8.4965 c=9.5140 alpha=105.48 beta=102.05 gamma=90.00
Closest atoms and distances in Å follow each position.
Atoms (fractional coordinates):
Pm1 0.6570 0.1071 0.3139  1 Rh 2.81, 5 Cl 2.82-3.10
Pm2 0.9984 0.2235 0.9968  2 Rh 2.75, 3 Cl 3.02-3.07
Pm3 0.3430 0.8929 0.6861  1 Rh 2.81, 5 Cl 2.82-3.10
Pm4 0.0016 0.7765 0.0032  2 Rh 2.75, 3 Cl 3.02-3.07
Rh1 0.5000 0.0000 0.0000  6 Pm 2.75-2.81
Cl1 0.1665 0.3478 0.3331  3 Pm 2.82-3.02
Cl2 0.1741 0.8701 0.3482  4 Pm 2.91-3.10
Cl3 0.8259 0.1299 0.6518  4 Pm 2.91-3.10
Cl4 0.5000 0.5000 0.0000  4 Pm 3.07
Cl5 0.8335 0.6522 0.6669  3 Pm 2.82-3.02

# 3
A geometry-optimized Pm4Rh2Cl3 structure, computed with GGA-PBE.

Raw formation energy (kJ per mole of atoms): -129.7
SG: C2/m
Total magnetization (μB per formula unit): 0.0

Unit cell a=4.0129 b=4.0129 c=18.0049 alpha=90.05 beta=89.95 gamma=120.00
Closest atoms and distances in Å follow each position.
Atoms (fractional coordinates):
Pm1 0.3337 0.6663 0.8751  3 Rh 2.78
Pm2 0.9992 0.0008 0.3067  3 Rh 2.89-2.90, 3 Cl 2.91
Pm3 0.0008 0.9992 0.6933  3 Rh 2.89-2.90, 3 Cl 2.91
Pm4 0.6663 0.3337 0.1249  3 Rh 2.78
Rh1 0.6672 0.3328 0.7897  6 Pm 2.78-2.90
Rh2 0.3328 0.6672 0.2103  6 Pm 2.78-2.90
Cl1 0.6656 0.3344 0.4045  3 Pm 2.91
Cl2 0.0000 0.0000 0.0000  6 Pm 3.23
Cl3 0.3344 0.6656 0.5955  3 Pm 2.91